8
Lattice="7.959 0.000 0.000 0.000 7.959 0.000 3.979 3.979 3.558" Properties=species:S:1:pos:R:3 comment="RbTeIr2, relaxed, DFT PBE" magmom_total_mub_per_cell=0.00 sg="No. 122" e_tot_ev_per_atom=-4.581 dos_ef_per_ev_cell=9.88 e_form_raw_ev_per_atom=0.877 pbc="T T T"
Ir 9.948 10.731 2.668
Ir 1.207 5.969 0.889
Ir 5.969 5.186 2.668
Ir 6.751 1.990 0.889
Te 7.959 3.979 1.779
Te 0.000 0.000 0.000
Rb 3.979 3.979 0.000
Rb 3.979 7.959 1.779

5
Lattice="5.434 0.000 0.000 0.000 5.434 0.000 0.000 0.000 5.434" Properties=species:S:1:pos:R:3 comment="RbTe3Ir, relaxed, DFT PBE" magmom_total_mub_per_cell=0.00 sg="No. 221" relative_energy_ev_per_atom=0.0000 e_tot_ev_per_atom=-3.842 dos_ef_per_ev_cell=7.52 e_form_raw_ev_per_atom=0.009 pbc="T T T"
Te 0.000 0.000 2.717
Te 2.717 0.000 0.000
Te 0.000 2.717 0.000
Rb 2.717 2.717 2.717
Ir 0.000 0.000 0.000

5
Lattice="6.108 0.000 0.000 0.000 6.108 0.000 0.000 0.000 6.108" Properties=species:S:1:pos:R:3 comment="RbTe3Ir, relaxed, DFT PBE" magmom_total_mub_per_cell=2.07 sg="No. 221" relative_energy_ev_per_atom=2.0858 e_tot_ev_per_atom=-1.756 dos_ef_per_ev_cell=23.18 e_form_raw_ev_per_atom=2.095 pbc="T T T"
Ir 3.054 3.054 3.054
Rb 0.000 0.000 0.000
Te 3.054 0.000 0.000
Te 0.000 3.054 0.000
Te 0.000 0.000 3.054